## MoAsPS2 (GGA-PBEsol)

Data for a relaxed structure of MoAsPS2.

```
MoAsPS2
1.0
-2.8187 -2.3329 2.6053
1.5445 -3.8326 -1.7609
3.4260 -0.2284 3.5021
S P Mo As
2 1 1 1
Direct
0.0000 0.5000 0.0000 S
0.5000 0.0000 0.0000 S
0.0000 0.0000 0.5000 P
0.0000 0.0000 0.0000 Mo
0.5000 0.5000 0.5000 As
```

Summary:
**SG**: P4/mmm
**Size of the total moment**: 0.087 μB per atom
**Uncorrected formation energy**: 2.22 eV per formula unit

***

## SrZrSb2P (GGA-PBEsol)

Data for a relaxed structure of SrZrSb2P.

```
SrZrSb2P
1.0
-0.3089 2.4478 4.4119
-0.7203 -4.8877 2.6614
5.5547 -0.4660 0.6475
Sb P Zr Sr
2 1 1 1
Direct
0.0000 0.0000 0.5000 Sb
0.0000 0.5000 0.0000 Sb
0.5000 0.0000 0.0000 P
0.5000 0.5000 0.5000 Zr
0.0000 0.0000 0.0000 Sr
```

Summary:
**SG**: P4/mmm
**Size of the total moment**: 0.200 μB per atom
**Uncorrected formation energy**: 5.86 eV per formula unit

***

## MnFeRe (GGA-PBEsol)

Data for a relaxed structure of MnFeRe.

```
MnFeRe
1.0
2.5688 0.0000 0.0000
0.0000 2.5688 0.0000
-1.2844 -1.2844 5.3168
Fe Mn Re
1 1 1
Direct
0.0109 0.0109 0.0218 Fe
0.6542 0.6542 0.3083 Mn
0.3349 0.3349 0.6699 Re
```

Summary:
**SG**: I4mm
**Size of the total moment**: 0.000 μB per atom
**Formation energy from the elements**: 0.0998 eV per atom